[1]
Density functional theory data (PBE) for MgGa2Hg after structural relaxation.

a b c (Å): 4.4906 6.1997 6.0901
angles (deg): 76.10 90.00 90.00
Last column: nearest neighbours and their distance in Å.
Atoms (fractional coordinates):
Ga 0.7500 0.0269 0.3728  3 Ga 2.70-2.83, 2 Mg 2.97, 1 Hg 3.02
Ga 0.7500 0.1463 0.8942  5 Ga 2.83-3.11, 2 Hg 3.01, 1 Mg 3.04
Ga 0.2500 0.9731 0.6272  3 Ga 2.70-2.83, 2 Mg 2.97, 1 Hg 3.02
Ga 0.2500 0.8537 0.1058  5 Ga 2.83-3.11, 2 Hg 3.01, 1 Mg 3.04
Hg 0.2500 0.4459 0.6778  3 Mg 2.91-2.95, 4 Ga 3.01-3.21, 2 Hg 3.08
Hg 0.7500 0.5541 0.3222  3 Mg 2.91-2.95, 4 Ga 3.01-3.21, 2 Hg 3.08
Mg 0.7500 0.6766 0.8236  3 Hg 2.91-2.95, 7 Ga 2.97-3.21
Mg 0.2500 0.3234 0.1764  3 Hg 2.91-2.95, 7 Ga 2.97-3.21

## Properties
The energy of formation from the pure elements comes out at -0.066 eV/atom. The space-group type is P2_1/m, No. 11. Its total energy is -16.4 eV per cell.

---

[2]
Density functional theory data (PBE) for Mg4GaHg after structural relaxation.

a b c (Å): 4.6145 4.6137 6.6774
angles (deg): 90.01 90.00 90.00
Last column: nearest neighbours and their distance in Å.
Atoms (fractional coordinates):
Mg 0.0012 0.4974 0.2590  2 Ga 2.80-2.81, 2 Hg 2.89
Mg 0.5012 0.9975 0.2590  2 Ga 2.81, 2 Hg 2.89
Mg 0.5014 0.9971 0.7373  2 Ga 2.81, 2 Hg 2.89
Mg 0.0014 0.4970 0.7373  2 Ga 2.80-2.81, 2 Hg 2.89
Ga 0.0013 0.9973 0.4980  8 Mg 2.80-2.81
Hg 0.5012 0.4974 0.9982  8 Mg 2.89

## Properties
The energy of formation from the pure elements comes out at -0.111 eV/atom. The space-group type is P4/mmm, No. 123. Its total energy is -10.4 eV per cell.

---

[3]
Density functional theory data (PBE) for Mg2Ga2Hg after structural relaxation.

a b c (Å): 4.5580 5.7127 9.1627
angles (deg): 93.87 75.60 66.49
Last column: nearest neighbours and their distance in Å.
Atoms (fractional coordinates):
Mg 0.7031 0.2518 0.3420  4 Ga 2.92-2.99, 4 Hg 3.01-3.27
Mg 0.0981 0.7377 0.0660  4 Ga 2.86-2.98, 1 Mg 3.18
Mg 0.2969 0.7482 0.6580  4 Ga 2.92-2.99, 4 Hg 3.01-3.27
Mg 0.9019 0.2623 0.9340  4 Ga 2.86-2.98, 1 Mg 3.18
Ga 0.3350 0.2093 0.1208  2 Ga 2.76-2.79, 1 Hg 2.81, 5 Mg 2.86-2.99
Ga 0.6650 0.7907 0.8792  2 Ga 2.76-2.79, 1 Hg 2.81, 5 Mg 2.86-2.99
Ga 0.9931 0.3927 0.6211  2 Ga 2.61-2.79, 2 Hg 2.74
Ga 0.0069 0.6073 0.3789  2 Ga 2.61-2.79, 2 Hg 2.74
Hg 0.3977 0.8724 0.3321  3 Ga 2.74-2.81, 2 Mg 3.01
Hg 0.6023 0.1276 0.6679  3 Ga 2.74-2.81, 2 Mg 3.01

## Properties
The energy of formation from the pure elements comes out at -0.092 eV/atom. The space-group type is C2/m, No. 12. Its total energy is -20.0 eV per cell.

---

[4]
Density functional theory data (PBE) for Mg2Ga3Hg after structural relaxation.

a b c (Å): 3.7770 10.3466 7.2292
angles (deg): 67.92 88.54 99.77
Last column: nearest neighbours and their distance in Å.
Atoms (fractional coordinates):
Mg 0.4174 0.8635 0.7797  7 Ga 2.83-3.10, 2 Hg 2.91-2.94
Mg 0.8424 0.6268 0.2935  5 Ga 2.84-3.01, 1 Hg 2.84
Mg 0.1576 0.3732 0.7065  5 Ga 2.84-3.01, 1 Hg 2.84
Mg 0.5826 0.1365 0.2203  7 Ga 2.83-3.10, 2 Hg 2.91-2.94
Hg 0.8069 0.6264 0.9014  3 Mg 2.84-2.94, 2 Ga 2.95-2.96, 2 Hg 3.04-3.10
Hg 0.1931 0.3736 0.0986  3 Mg 2.84-2.94, 2 Ga 2.95-2.96, 2 Hg 3.04-3.10
Ga 0.4623 0.8755 0.1636  4 Ga 2.73-2.84, 4 Mg 2.83-3.01
Ga 0.5377 0.1245 0.8364  4 Ga 2.73-2.84, 4 Mg 2.83-3.01
Ga 0.3465 0.6742 0.5668  3 Ga 2.80-2.84, 4 Mg 2.84-2.92, 2 Hg 2.95-2.96
Ga 0.0455 0.1067 0.5727  5 Ga 2.73-2.80, 2 Mg 3.00-3.03
Ga 0.9545 0.8933 0.4273  5 Ga 2.73-2.80, 2 Mg 3.00-3.03
Ga 0.6535 0.3258 0.4332  3 Ga 2.80-2.84, 4 Mg 2.84-2.92, 2 Hg 2.95-2.96

## Properties
The energy of formation from the pure elements comes out at -0.050 eV/atom. The space-group type is P-1, No. 2. Its total energy is -25.7 eV per cell.

---

[5]
Density functional theory data (PBE) for Mg7Ga2Hg2 after structural relaxation.

a b c (Å): 5.8409 5.8409 7.5349
angles (deg): 97.32 97.32 107.47
Last column: nearest neighbours and their distance in Å.
Atoms (fractional coordinates):
Mg 0.5200 0.0916 0.8238  3 Ga 2.84-3.11, 2 Hg 2.88-3.05, 2 Mg 3.00-3.17
Mg 0.0916 0.5200 0.8238  3 Ga 2.84-3.11, 2 Hg 2.88-3.05, 2 Mg 3.00-3.17
Mg 0.4800 0.9084 0.1762  3 Ga 2.84-3.11, 2 Hg 2.88-3.05, 2 Mg 3.00-3.17
Mg 0.0000 0.0000 0.0000  2 Ga 2.74
Mg 0.9084 0.4800 0.1762  3 Ga 2.84-3.11, 2 Hg 2.88-3.05, 2 Mg 3.00-3.17
Mg 0.7573 0.7573 0.5282  4 Hg 2.88-2.98, 1 Ga 2.90
Mg 0.2427 0.2427 0.4718  4 Hg 2.88-2.98, 1 Ga 2.90
Hg 0.2435 0.7565 0.5000  8 Mg 2.88-3.05
Hg 0.7565 0.2435 0.5000  8 Mg 2.88-3.05
Ga 0.3998 0.3998 0.1451  4 Mg 2.74-2.90, 1 Ga 2.83
Ga 0.6002 0.6002 0.8549  4 Mg 2.74-2.90, 1 Ga 2.83

## Properties
The energy of formation from the pure elements comes out at -0.120 eV/atom. The space-group type is C2/m, No. 12. Its total energy is -19.1 eV per cell.

---

[6]
Density functional theory data (PBE) for Mg2GaHg after structural relaxation.

a b c (Å): 3.3969 3.3969 7.0603
angles (deg): 90.00 90.00 90.00
Last column: nearest neighbours and their distance in Å.
Atoms (fractional coordinates):
Mg 0.0000 0.0000 0.2400  4 Ga 2.94, 4 Hg 3.02
Mg 0.0000 0.0000 0.7600  4 Ga 2.94, 4 Hg 3.02
Hg 0.5000 0.5000 0.5000  8 Mg 3.02
Ga 0.5000 0.5000 0.0000  8 Mg 2.94

## Properties
The energy of formation from the pure elements comes out at -0.188 eV/atom. The space-group type is P4/mmm, No. 123. Its total energy is -7.3 eV per cell.

---

[7]
Density functional theory data (PBE) for Mg2GaHg3 after structural relaxation.

a b c (Å): 8.6887 8.5685 7.2593
angles (deg): 65.22 34.26 59.53
Last column: nearest neighbours and their distance in Å.
Atoms (fractional coordinates):
Hg 0.5004 0.0000 0.7454  6 Mg 3.01-3.09, 2 Ga 3.08
Hg 0.4996 0.0000 0.2546  6 Mg 3.01-3.09, 2 Ga 3.08
Hg 0.1653 0.6711 0.2469  5 Mg 3.02-3.06, 3 Ga 3.03-3.08
Hg 0.8347 0.3289 0.7531  5 Mg 3.02-3.06, 3 Ga 3.03-3.08
Hg 0.1635 0.6711 0.7531  5 Mg 3.02-3.06, 3 Ga 3.03-3.08
Hg 0.8365 0.3289 0.2469  5 Mg 3.02-3.06, 3 Ga 3.03-3.08
Mg 0.0000 0.0000 0.5000  8 Hg 3.04-3.09
Mg 0.3293 0.3415 0.5000  8 Hg 3.02-3.09
Mg 0.6707 0.6585 0.5000  8 Hg 3.02-3.09
Mg 0.0000 0.0000 0.0000  8 Hg 3.01-3.05
Ga 0.6670 0.6659 0.0000  8 Hg 3.03-3.08
Ga 0.3330 0.3341 0.0000  8 Hg 3.03-3.08

## Properties
The energy of formation from the pure elements comes out at -0.109 eV/atom. The space-group type is C2/m, No. 12. Its total energy is -15.6 eV per cell.

---

[8]
Density functional theory data (PBE) for Mg2GaHg after structural relaxation.

a b c (Å): 6.5497 6.5497 6.5497
angles (deg): 57.12 152.41 131.03
Last column: nearest neighbours and their distance in Å.
Atoms (fractional coordinates):
Ga 0.0000 0.0000 0.0000  2 Mg 2.86, 2 Ga 3.12, 4 Hg 3.13
Mg 0.0000 0.7518 0.7518  1 Ga 2.86, 1 Hg 2.90, 6 Mg 3.12-3.13
Mg 0.0000 0.2482 0.2482  1 Ga 2.86, 1 Hg 2.90, 6 Mg 3.12-3.13
Hg 0.0000 0.5000 0.5000  2 Mg 2.90, 2 Hg 3.12, 4 Ga 3.13

## Properties
The energy of formation from the pure elements comes out at 0.122 eV/atom. The space-group type is Immm, No. 71. Its total energy is -6.0 eV per cell.

---

[9]
Density functional theory data (PBE) for MgGa2Hg2 after structural relaxation.

a b c (Å): 3.3176 3.3176 9.9615
angles (deg): 99.59 99.59 90.00
Last column: nearest neighbours and their distance in Å.
Atoms (fractional coordinates):
Mg 0.0000 0.0000 0.0000  8 Hg 3.03, 4 Mg 3.32
Hg 0.5994 0.5994 0.1987  4 Mg 3.03, 4 Ga 3.14, 4 Hg 3.32
Hg 0.4006 0.4006 0.8013  4 Mg 3.03, 4 Ga 3.14, 4 Hg 3.32
Ga 0.7927 0.7927 0.5854  4 Ga 2.87, 4 Hg 3.14
Ga 0.2073 0.2073 0.4146  4 Ga 2.87, 4 Hg 3.14

## Properties
The energy of formation from the pure elements comes out at -0.035 eV/atom. The space-group type is I4/mmm, No. 139. Its total energy is -8.4 eV per cell.

---

[10]
Density functional theory data (PBE) for Mg2GaHgN after structural relaxation.

a b c (Å): 5.1182 5.1554 5.1182
angles (deg): 90.00 90.00 90.00
Last column: nearest neighbours and their distance in Å.
Atoms (fractional coordinates):
Mg 0.0000 0.0000 0.5000  2 Ga 2.56
Mg 0.5000 0.0000 0.0000  2 Ga 2.56
N 0.5000 0.5000 0.5000  4 Hg 3.62, 8 Mg 3.63
Ga 0.0000 0.0000 0.0000  4 Mg 2.56, 2 Hg 2.58
Hg 0.0000 0.5000 0.0000  2 Ga 2.58

## Properties
The space-group type is P4/mmm, No. 123. The formation energy (no corrections) comes out at 1040 meV/atom. Its total energy is -9.6 eV per cell.

---

[11]
Density functional theory data (PBE) for Mg2GaHgN after structural relaxation.

a b c (Å): 4.2491 4.2491 4.5766
angles (deg): 90.00 90.00 90.00
Last column: nearest neighbours and their distance in Å.
Atoms (fractional coordinates):
Ga 0.0000 0.0000 0.5000  2 N 2.29
Mg 0.0000 0.5000 0.0000  2 N 2.12
Mg 0.5000 0.0000 0.0000  2 N 2.12
Hg 0.5000 0.5000 0.5000  4 Ga 3.00, 8 Mg 3.12
N 0.0000 0.0000 0.0000  4 Mg 2.12, 2 Ga 2.29

## Properties
The space-group type is P4/mmm, No. 123. The formation energy (no corrections) comes out at -182 meV/atom. Its total energy is -15.8 eV per cell.

---

[12]
Density functional theory data (PBE) for NaMg2Ga2Hg2 after structural relaxation.

a b c (Å): 4.6909 4.6909 8.8380
angles (deg): 74.61 74.61 60.00
Last column: nearest neighbours and their distance in Å.
Atoms (fractional coordinates):
Hg 0.5920 0.5920 0.2239  3 Ga 2.72
Hg 0.4080 0.4080 0.7761  3 Ga 2.72
Mg 0.8675 0.8675 0.3976  4 Ga 2.89-2.95, 3 Hg 3.08, 3 Mg 3.21
Mg 0.1325 0.1325 0.6024  4 Ga 2.89-2.95, 3 Hg 3.08, 3 Mg 3.21
Ga 0.2469 0.2469 0.2592  3 Hg 2.72, 4 Mg 2.89-2.95
Ga 0.7531 0.7531 0.7408  3 Hg 2.72, 4 Mg 2.89-2.95
Na 0.0000 0.0000 0.0000  6 Hg 3.30, 2 Mg 3.35, 6 Ga 3.48

## Properties
The energy of formation from the pure elements comes out at -0.123 eV/atom. The space-group type is R-3m, No. 166. Its total energy is -12.0 eV per cell.